# 1
! Sm2CuSi4Pt3 | Alexandria via LeMat-Bulk | PBE | optimized geometry; values from VASP
! total magnetic moment: 0.00 μB/atom
! calculated total energy: -63.3 eV per cell
&SYSTEM
  ibrav = 0, nat = 10, ntyp = 4
/
ATOMIC_SPECIES
Sm 150.36 Sm.upf
Cu 63.55 Cu.upf
Si 28.09 Si.upf
Pt 195.08 Pt.upf
ATOMIC_POSITIONS angstrom
Sm 0.0000 2.1026 2.4692
Sm 2.1026 0.0000 7.4521
Cu 2.1026 2.1026 0.0000
Si 0.0000 0.0000 4.9607
Si 0.0000 2.1026 8.6112
Si 2.1026 0.0000 1.3101
Si 2.1026 2.1026 4.9607
Pt 0.0000 0.0000 0.0000
Pt 0.0000 2.1026 6.1787
Pt 2.1026 0.0000 3.7426
CELL_PARAMETERS angstrom
4.2052 0.0000 0.0000
0.0000 4.2052 0.0000
0.0000 0.0000 9.9213

# 2
! CaO | Alexandria via LeMat-Bulk | PBE | optimized geometry; values from VASP
! total magnetic moment: 0.00 μB/atom
! calculated total energy: -51.5 eV per cell
&SYSTEM
  ibrav = 0, nat = 8, ntyp = 2
/
ATOMIC_SPECIES
Ca 40.08 Ca.upf
O 16.00 O.upf
ATOMIC_POSITIONS angstrom
Ca 0.0000 0.0000 0.0000
Ca 0.0000 2.4194 2.4194
Ca 2.4194 0.0000 2.4194
Ca 2.4194 2.4194 0.0000
O 0.0000 0.0000 2.4194
O 0.0000 2.4194 0.0000
O 2.4194 0.0000 0.0000
O 2.4194 2.4194 2.4194
CELL_PARAMETERS angstrom
4.8388 0.0000 0.0000
0.0000 4.8388 0.0000
0.0000 0.0000 4.8388